No. 1
Below is CuAg2Ge after structural relaxation, with properties calculated at the PBE level.

Output
Formation enthalpy at 0 K (meV per atom): 156
Space-group type: P4/mmm, No. 123

```
4
Lattice="-2.9314 1.9271 -2.1019 0.4545 -2.5987 -3.0166 -2.7571 -2.3959 1.6485" Properties=species:S:1:pos:R:3 pbc="T T T"
Ag 0.2273 -1.2993 -1.5083
Ag -1.3785 -1.1979 0.8243
Ge -1.4657 0.9636 -1.0509
Cu -2.6170 -1.5337 -1.7350
```

=====

No. 2
Below is Cr2SiBr after structural relaxation, with properties calculated at the PBE level.

Output
Energy relative to the elements, uncorrected (eV per atom): 0.54
Space-group type: I-42d, No. 122

```
8
Lattice="5.5647 0.0000 0.0000 0.0000 5.5647 0.0000 2.7824 2.7824 6.2210" Properties=species:S:1:pos:R:3 pbc="T T T"
Cr 4.1735 4.3836 4.6657
Cr 6.9559 6.7458 4.6657
Cr 1.6013 4.1735 1.5552
Cr 3.9635 1.3912 1.5552
Br 5.5647 2.7824 3.1105
Br 0.0000 0.0000 0.0000
Si 2.7824 2.7824 0.0000
Si 2.7824 5.5647 3.1105
```

=====

| no. | VASP energy (eV/cell) |
| --- | --- |
| 1 | -13.8 |
| 2 | -48.4 |